12
Lattice="3.4583 0.0000 0.0000 -1.7292 2.9950 0.0000 0.0000 0.0000 17.7466" Properties=species:S:1:pos:R:3 comment="LiCaO2, relaxed, DFT PBE" magnetic_moment_mub_per_cell=3.000 spacegroup="R-3m (166)" dft_energy_ev_per_atom=-5.26 formation_energy_uncorrected_ev_per_atom=-1.8013 pbc="T T T"
Li 0.0000 0.0000 0.0000
Li 0.0000 1.9967 11.8311
Li 1.7292 0.9983 5.9155
Ca 0.0000 0.0000 8.8733
Ca 0.0000 1.9967 2.9578
Ca 1.7292 0.9983 14.7888
O 0.0000 0.0000 1.7740
O 0.0000 0.0000 15.9726
O 0.0000 1.9967 10.0571
O 0.0000 1.9967 13.6050
O 1.7292 0.9983 4.1416
O 1.7292 0.9983 7.6895

---

10
Lattice="9.0330 -1.8163 0.0000 9.0330 1.8163 0.0000 -1.7082 0.0000 8.3836" Properties=species:S:1:pos:R:3 comment="LiTl5As4, relaxed, DFT PBE" magnetic_moment_mub_per_cell=0.000 spacegroup="C2/m (12)" dft_energy_ev_per_atom=-3.29 formation_energy_ev_per_atom=-0.06 pbc="T T T"
Li 0.0000 0.0000 0.0000
Tl -0.8541 0.0000 4.1918
Tl 4.7626 0.0000 2.6304
Tl 5.6569 0.0000 6.1393
Tl 10.7009 0.0000 2.2443
Tl 11.5953 0.0000 5.7532
As 0.9749 0.0000 8.1360
As 7.5796 0.0000 1.5505
As 8.7783 0.0000 6.8331
As 15.3829 0.0000 0.2476

---

10
Lattice="3.9243 0.0000 0.0000 0.0000 3.9243 0.0000 0.0000 0.0000 24.4668" Properties=species:S:1:pos:R:3 comment="Ac2Pr2Mg, relaxed, DFT PBE" magnetic_moment_mub_per_cell=0.000 spacegroup="I4/mmm (139)" dft_energy_ev_per_atom=-3.89 formation_energy_ev_per_atom=-0.01 relative_energy_mev_per_atom=0 pbc="T T T"
Ac 0.0000 0.0000 2.2279
Ac 0.0000 0.0000 22.2389
Ac 1.9622 1.9622 10.0055
Ac 1.9622 1.9622 14.4613
Pr 0.0000 0.0000 7.3449
Pr 0.0000 0.0000 17.1219
Pr 1.9622 1.9622 4.8885
Pr 1.9622 1.9622 19.5783
Mg 0.0000 0.0000 12.2334
Mg 1.9622 1.9622 0.0000

---

12
Lattice="3.4513 0.0000 0.0000 -1.7256 2.9889 0.0000 0.0000 0.0000 25.9125" Properties=species:S:1:pos:R:3 comment="Ca2PdF, relaxed, DFT PBE" magnetic_moment_mub_per_cell=0.001 spacegroup="R-3m (166)" dft_energy_ev_per_atom=-3.82 formation_energy_uncorrected_ev_per_atom=-1.0573 relative_energy_mev_per_atom=572 pbc="T T T"
Ca 0.0000 0.0000 2.6013
Ca 0.0000 0.0000 23.3113
Ca 0.0000 1.9926 14.6737
Ca 0.0000 1.9926 19.8763
Ca 1.7256 0.9963 6.0362
Ca 1.7256 0.9963 11.2388
Pd 0.0000 0.0000 0.0000
Pd 0.0000 1.9926 17.2750
Pd 1.7256 0.9963 8.6375
F 0.0000 0.0000 12.9563
F 0.0000 1.9926 4.3188
F 1.7256 0.9963 21.5938

---

10
Lattice="3.7565 0.0000 0.0000 0.0000 3.7565 0.0000 0.0000 0.0000 18.7153" Properties=species:S:1:pos:R:3 comment="Pr4NdAl5, relaxed, DFT PBE" magnetic_moment_mub_per_cell=0.000 spacegroup="P4/mmm (123)" dft_energy_ev_per_atom=-4.60 formation_energy_ev_per_atom=-0.34 pbc="T T T"
Pr 0.0000 0.0000 1.8779
Pr 0.0000 0.0000 5.6340
Pr 0.0000 0.0000 13.0813
Pr 0.0000 0.0000 16.8374
Nd 0.0000 0.0000 9.3576
Al 1.8783 1.8783 0.0000
Al 1.8783 1.8783 3.7548
Al 1.8783 1.8783 7.5207
Al 1.8783 1.8783 11.1946
Al 1.8783 1.8783 14.9605

---

12
Lattice="3.3896 -5.8802 0.0000 3.3896 5.8802 0.0000 -2.2522 0.0000 7.7079" Properties=species:S:1:pos:R:3 comment="Rb3MnCr2Se6, relaxed, DFT PBE" magnetic_moment_mub_per_cell=10.000 spacegroup="C2/m (12)" dft_energy_ev_per_atom=-5.10 formation_energy_uncorrected_ev_per_atom=-0.7482 pbc="T T T"
Rb 0.0000 0.0000 0.0000
Rb 3.3896 1.9401 0.0000
Rb 3.3896 -1.9401 0.0000
Mn 2.2635 0.0000 3.8539
Cr 2.2635 3.9171 3.8539
Cr 2.2635 -3.9171 3.8539
Se 1.1151 1.9928 2.5349
Se -0.0247 0.0000 5.1617
Se 1.1151 -1.9928 2.5349
Se 3.4119 1.9928 5.1730
Se 4.5517 0.0000 2.5462
Se 3.4119 -1.9928 5.1730

---

12
Lattice="3.9497 -6.8412 0.0000 3.9497 6.8412 0.0000 -2.6331 0.0000 8.2267" Properties=species:S:1:pos:R:3 comment="K3CaU2Te6, relaxed, DFT PBE" magnetic_moment_mub_per_cell=5.000 spacegroup="C2/m (12)" dft_energy_ev_per_atom=-4.94 formation_energy_uncorrected_ev_per_atom=-1.0449 pbc="T T T"
K 0.0000 0.0000 0.0000
K 3.9497 2.2382 0.0000
K 3.9497 -2.2382 0.0000
Ca 2.6332 0.0000 4.1134
U 2.6332 4.5550 4.1134
U 2.6332 -4.5550 4.1134
Te 1.2780 2.3443 2.3826
Te -0.0737 0.0000 5.8373
Te 1.2780 -2.3443 2.3826
Te 3.9884 2.3443 5.8442
Te 5.3400 0.0000 2.3894
Te 3.9884 -2.3443 5.8442

---

9
Lattice="6.6106 -2.0710 0.0000 6.6106 2.0710 0.0000 -0.9472 0.0000 8.9338" Properties=species:S:1:pos:R:3 comment="Rb3P2Pt4, relaxed, DFT PBE" magnetic_moment_mub_per_cell=0.000 spacegroup="C2/m (12)" dft_energy_ev_per_atom=-4.60 formation_energy_ev_per_atom=-0.39 pbc="T T T"
Rb 0.0000 0.0000 0.0000
Rb 3.7979 0.0000 5.9968
Rb 8.4760 0.0000 2.9369
P 4.9222 0.0000 2.5812
P 7.3517 0.0000 6.3525
Pt 0.2633 0.0000 5.6030
Pt 3.7508 0.0000 0.7035
Pt 8.5231 0.0000 8.2302
Pt 12.0106 0.0000 3.3307

---

5
Lattice="4.8723 0.0000 0.0000 0.0000 4.8723 0.0000 0.0000 0.0000 4.9118" Properties=species:S:1:pos:R:3 comment="FeSiAuCl2, relaxed, DFT PBE" magnetic_moment_mub_per_cell=3.942 spacegroup="P4/mmm (123)" dft_energy_ev_per_atom=-3.74 formation_energy_uncorrected_ev_per_atom=0.4333 pbc="T T T"
Fe 0.0000 0.0000 0.0000
Si 2.4362 2.4362 2.4559
Au 2.4362 2.4362 0.0000
Cl 0.0000 2.4362 2.4559
Cl 2.4362 0.0000 2.4559

---

14
Lattice="6.7096 0.0000 0.0000 0.0000 6.7096 0.0000 0.0000 0.0000 10.3631" Properties=species:S:1:pos:R:3 comment="NaInSbSe4, relaxed, DFT PBE" magnetic_moment_mub_per_cell=0.459 spacegroup="I-4 (82)" dft_energy_ev_per_atom=-3.60 formation_energy_uncorrected_ev_per_atom=-0.4360 pbc="T T T"
Na 0.0000 0.0000 0.0000
Na 3.3548 3.3548 5.1815
In 0.0000 0.0000 5.1815
In 3.3548 3.3548 0.0000
Sb 0.0000 3.3548 7.7723
Sb 3.3548 0.0000 2.5908
Se 1.5125 5.1420 3.7102
Se 1.5676 1.5125 6.6529
Se 1.7872 1.8423 1.4714
Se 1.8423 4.9225 8.8917
Se 4.8673 1.7872 8.8917
Se 4.9225 4.8673 1.4714
Se 5.1420 5.1971 6.6529
Se 5.1971 1.5676 3.7102

---

18
Lattice="2.7028 -11.0077 0.0000 2.7028 11.0077 0.0000 0.0000 0.0000 10.1590" Properties=species:S:1:pos:R:3 comment="TbNd2Sm5Sc, relaxed, DFT PBE" magnetic_moment_mub_per_cell=0.000 spacegroup="Cmc2_1 (36)" dft_energy_ev_per_atom=-4.78 formation_energy_ev_per_atom=0.12 pbc="T T T"
Tb 2.7028 8.7597 5.0795
Tb 2.7028 -8.7597 0.0000
Nd 2.7028 2.5705 7.5802
Nd 2.7028 2.5624 2.5783
Nd 2.7028 -2.5624 7.6578
Nd 2.7028 -2.5705 2.5007
Sm 2.7028 11.0063 2.5392
Sm 2.7028 -11.0063 7.6187
Sm 2.7028 8.2092 0.0010
Sm 2.7028 6.1126 3.1780
Sm 2.7028 6.1219 6.9911
Sm 2.7028 0.0193 5.0797
Sm 2.7028 -0.0193 0.0002
Sm 2.7028 -6.1219 1.9116
Sm 2.7028 -6.1126 8.2576
Sm 2.7028 -8.2092 5.0805
Sc 2.7028 4.7055 0.0046
Sc 2.7028 -4.7055 5.0841

---

12
Lattice="11.9962 0.0000 0.0000 0.0000 3.6545 0.0000 -1.0738 0.0000 6.2680" Properties=species:S:1:pos:R:3 comment="HoThH, relaxed, DFT PBE" magnetic_moment_mub_per_cell=0.000 spacegroup="C2/m (12)" dft_energy_ev_per_atom=-5.34 relative_energy_mev_per_atom=0 pbc="T T T"
Ho 2.5978 0.0000 1.5312
Ho 2.3265 1.8273 4.7368
Ho 8.5959 1.8273 1.5312
Ho 8.3246 0.0000 4.7368
Th -0.5369 0.0000 3.1340
Th 0.0000 1.8273 0.0000
Th 5.9981 0.0000 0.0000
Th 5.4612 1.8273 3.1340
H 0.1610 1.8273 4.3280
H 4.7633 0.0000 1.9400
H 6.1591 0.0000 4.3280
H 10.7614 1.8273 1.9400

---

14
Lattice="6.0911 0.0000 0.0000 0.0000 6.0911 0.0000 0.0000 0.0000 19.6557" Properties=species:S:1:pos:R:3 comment="Cs2InI4, relaxed, DFT PBE" magnetic_moment_mub_per_cell=0.000 spacegroup="I4/mmm (139)" dft_energy_ev_per_atom=-2.62 formation_energy_uncorrected_ev_per_atom=-1.0959 relative_energy_mev_per_atom=0 pbc="T T T"
Cs 0.0000 0.0000 2.7793
Cs 0.0000 0.0000 16.8764
Cs 3.0455 3.0455 7.0486
Cs 3.0455 3.0455 12.6071
In 0.0000 0.0000 9.8278
In 3.0455 3.0455 0.0000
I 0.0000 0.0000 6.6441
I 0.0000 0.0000 13.0116
I 0.0000 3.0455 0.0000
I 0.0000 3.0455 9.8278
I 3.0455 0.0000 0.0000
I 3.0455 0.0000 9.8278
I 3.0455 3.0455 3.1838
I 3.0455 3.0455 16.4719

---

11
Lattice="9.7734 -2.7964 0.0000 9.7734 2.7964 0.0000 -0.5806 0.0000 6.4704" Properties=species:S:1:pos:R:3 comment="Sm2Y8Tl, relaxed, DFT PBE" magnetic_moment_mub_per_cell=0.000 spacegroup="C2/m (12)" dft_energy_ev_per_atom=-5.81 formation_energy_ev_per_atom=-0.04 relative_energy_mev_per_atom=0 pbc="T T T"
Sm 4.5668 0.0000 2.1725
Sm 14.3994 0.0000 4.2979
Y 0.7085 0.0000 1.7300
Y 2.5370 0.0000 5.2181
Y 6.1211 0.0000 5.6646
Y 8.0183 0.0000 2.5866
Y 10.9478 0.0000 3.8838
Y 12.8450 0.0000 0.8058
Y 16.4292 0.0000 1.2523
Y 18.2577 0.0000 4.7404
Tl 9.7734 0.0000 0.0000

---

16
Lattice="8.9836 0.0000 0.0000 0.0000 8.9836 0.0000 0.0000 0.0000 7.2552" Properties=species:S:1:pos:R:3 comment="Ba2AlCu, relaxed, DFT PBE" magnetic_moment_mub_per_cell=0.001 spacegroup="I-42d (122)" dft_energy_ev_per_atom=-2.61 formation_energy_ev_per_atom=0.31 pbc="T T T"
Ba 1.8905 2.2459 0.9069
Ba 2.2459 6.3823 2.7207
Ba 2.2459 7.0931 6.3483
Ba 2.6013 2.2459 4.5345
Ba 6.3823 6.7377 4.5345
Ba 6.7377 1.8905 6.3483
Ba 6.7377 2.6013 2.7207
Ba 7.0931 6.7377 0.9069
Al 0.0000 0.0000 3.6276
Al 0.0000 4.4918 5.4414
Al 4.4918 0.0000 1.8138
Al 4.4918 4.4918 0.0000
Cu 0.0000 0.0000 0.0000
Cu 0.0000 4.4918 1.8138
Cu 4.4918 0.0000 5.4414
Cu 4.4918 4.4918 3.6276

---

30
Lattice="8.5252 0.0000 0.0000 0.0000 1.4166 12.6428 0.0000 -1.4166 12.6428" Properties=species:S:1:pos:R:3 comment="Na10B13C7, relaxed, DFT PBE" magnetic_moment_mub_per_cell=0.000 spacegroup="Amm2 (38)" dft_energy_ev_per_atom=-5.38 formation_energy_ev_per_atom=0.11 relative_energy_mev_per_atom=23 pbc="T T T"
Na 2.0928 0.0000 0.0000
Na 2.1068 0.0000 5.0728
Na 2.1045 0.0000 20.2521
Na 2.1113 0.0000 15.1843
Na 2.1231 0.0000 10.1243
Na 6.4021 0.0000 10.1243
Na 6.4140 0.0000 15.1843
Na 6.4184 0.0000 5.0728
Na 6.4208 0.0000 20.2521
Na 6.4325 0.0000 0.0000
B 0.0000 0.0000 1.6818
B 0.0000 0.0000 6.7425
B 0.0000 0.0000 11.7949
B 0.0000 0.0000 16.8492
B 0.0000 0.0000 21.9115
B 4.2626 0.0000 1.6983
B 4.2626 0.0000 3.3518
B 4.2626 0.0000 8.3675
B 4.2626 0.0000 13.3119
B 4.2626 0.0000 16.9834
B 4.2626 0.0000 18.6908
B 4.2626 0.0000 21.9539
B 4.2626 0.0000 23.6532
C 0.0000 0.0000 3.3708
C 0.0000 0.0000 8.4301
C 0.0000 0.0000 13.4848
C 0.0000 0.0000 18.5443
C 0.0000 0.0000 23.5981
C 4.2626 0.0000 6.7796
C 4.2626 0.0000 11.7789

---

6
Lattice="0.0000 3.8461 3.8461 3.8461 0.0000 3.8461 3.8461 3.8461 0.0000" Properties=species:S:1:pos:R:3 comment="AcTmRu4, relaxed, DFT PBE" magnetic_moment_mub_per_cell=0.000 spacegroup="F-43m (216)" dft_energy_ev_per_atom=-7.70 formation_energy_ev_per_atom=-0.08 pbc="T T T"
Ac 0.0000 0.0000 0.0000
Tm 5.7692 5.7692 5.7692
Ru 2.8910 2.8910 2.8910
Ru 4.8012 4.8012 2.8910
Ru 4.8012 2.8910 4.8012
Ru 2.8910 4.8012 4.8012

---

12
Lattice="3.5487 0.0000 0.0000 -1.7743 3.0733 0.0000 0.0000 0.0000 26.9685" Properties=species:S:1:pos:R:3 comment="PuTiSe2, relaxed, DFT PBE" magnetic_moment_mub_per_cell=20.184 spacegroup="R-3m (166)" dft_energy_ev_per_atom=-8.09 formation_energy_uncorrected_ev_per_atom=-0.7900 pbc="T T T"
Pu 0.0000 0.0000 0.0000
Pu 0.0000 2.0488 17.9790
Pu 1.7743 1.0244 8.9895
Ti 0.0000 0.0000 13.4843
Ti 0.0000 2.0488 4.4948
Ti 1.7743 1.0244 22.4738
Se 0.0000 0.0000 2.9284
Se 0.0000 0.0000 24.0402
Se 0.0000 2.0488 15.0507
Se 0.0000 2.0488 20.9074
Se 1.7743 1.0244 6.0612
Se 1.7743 1.0244 11.9179

---

14
Lattice="14.3997 0.0000 0.0000 0.0000 5.6819 0.0000 -2.2314 0.0000 5.2254" Properties=species:S:1:pos:R:3 comment="Sm2MgTl4, relaxed, DFT PBE" magnetic_moment_mub_per_cell=0.000 spacegroup="C2/m (12)" dft_energy_ev_per_atom=-2.98 formation_energy_ev_per_atom=-0.05 pbc="T T T"
Sm 1.6840 0.0000 0.7253
Sm 3.2845 2.8410 4.5001
Sm 8.8838 2.8410 0.7253
Sm 10.4843 0.0000 4.5001
Mg -1.1157 2.8410 2.6127
Mg 6.0842 0.0000 2.6127
Tl -1.1157 0.0000 2.6127
Tl 0.0000 2.8410 0.0000
Tl 1.9265 0.0000 3.9188
Tl 3.0420 2.8410 1.3065
Tl 7.1999 0.0000 0.0000
Tl 6.0842 2.8410 2.6127
Tl 10.2419 0.0000 1.3065
Tl 9.1263 2.8410 3.9188

---

4
Lattice="3.5550 0.0000 0.0000 0.0000 3.5550 0.0000 0.0000 0.0000 8.5858" Properties=species:S:1:pos:R:3 comment="PmHo2Pt, relaxed, DFT PBE" magnetic_moment_mub_per_cell=0.000 spacegroup="P4/mmm (123)" dft_energy_ev_per_atom=-5.60 formation_energy_ev_per_atom=-0.62 relative_energy_mev_per_atom=85 pbc="T T T"
Pm 0.0000 0.0000 0.0000
Ho 1.7775 1.7775 2.6606
Ho 1.7775 1.7775 5.9252
Pt 0.0000 0.0000 4.2929

---

16
Lattice="7.2505 0.0000 0.0000 0.0000 7.2505 0.0000 0.0000 0.0000 5.6935" Properties=species:S:1:pos:R:3 comment="ScCdCu2, relaxed, DFT PBE" magnetic_moment_mub_per_cell=0.000 spacegroup="I-42d (122)" dft_energy_ev_per_atom=-3.62 formation_energy_ev_per_atom=0.24 pbc="T T T"
Sc 0.0000 0.0000 0.0000
Sc 0.0000 3.6253 1.4234
Sc 3.6253 0.0000 4.2702
Sc 3.6253 3.6253 2.8468
Cd 0.0000 0.0000 2.8468
Cd 0.0000 3.6253 4.2702
Cd 3.6253 0.0000 1.4234
Cd 3.6253 3.6253 0.0000
Cu 1.7762 1.8126 3.5585
Cu 1.8126 5.4014 4.9818
Cu 1.8126 5.4744 2.1351
Cu 1.8491 1.8126 0.7117
Cu 5.4014 5.4379 0.7117
Cu 5.4379 1.7762 2.1351
Cu 5.4379 1.8491 4.9818
Cu 5.4744 5.4379 3.5585

---

3
Lattice="3.7059 0.0000 0.0000 -1.8529 3.2094 0.0000 0.0000 0.0000 6.1352" Properties=species:S:1:pos:R:3 comment="LaSmO, relaxed, DFT PBE" magnetic_moment_mub_per_cell=0.021 spacegroup="P3m1 (156)" dft_energy_ev_per_atom=-6.59 formation_energy_uncorrected_ev_per_atom=-1.7197 pbc="T T T"
La 0.0000 0.0000 0.0000
Sm 0.0000 2.1396 2.7549
O 1.8529 1.0698 1.4619

---

11
Lattice="2.8682 -5.0104 0.0000 2.8682 5.0104 0.0000 -0.0874 0.0000 7.4730" Properties=species:S:1:pos:R:3 comment="Tm2Tl2SbO6, relaxed, DFT PBE" magnetic_moment_mub_per_cell=0.000 spacegroup="C2/m (12)" dft_energy_ev_per_atom=-6.43 formation_energy_uncorrected_ev_per_atom=-2.1038 pbc="T T T"
Tm 2.8682 3.3539 0.0000
Tm 2.8682 -3.3539 0.0000
Tl 2.8245 1.6129 3.7365
Tl 2.8245 -1.6129 3.7365
Sb 2.8682 0.0000 0.0000
O 1.9182 1.5356 6.4315
O 1.1229 0.0000 1.0190
O 3.7308 1.5356 1.0415
O 1.9182 -1.5356 6.4315
O 4.5260 0.0000 6.4539
O 3.7308 -1.5356 1.0415

---

15
Lattice="4.1235 0.0000 0.0000 -2.0618 3.5711 0.0000 0.0000 0.0000 23.1237" Properties=species:S:1:pos:R:3 comment="PmAl2Ge2, relaxed, DFT PBE" magnetic_moment_mub_per_cell=0.000 spacegroup="R-3m (166)" dft_energy_ev_per_atom=-4.51 formation_energy_ev_per_atom=-0.22 relative_energy_mev_per_atom=130 pbc="T T T"
Pm 0.0000 0.0000 0.0000
Pm 0.0000 2.3807 15.4158
Pm 2.0618 1.1904 7.7079
Al 0.0000 0.0000 4.9816
Al 0.0000 0.0000 18.1422
Al 0.0000 2.3807 10.4343
Al 0.0000 2.3807 20.3974
Al 2.0618 1.1904 2.7264
Al 2.0618 1.1904 12.6895
Ge 0.0000 0.0000 9.5808
Ge 0.0000 0.0000 13.5429
Ge 0.0000 2.3807 1.8729
Ge 0.0000 2.3807 5.8350
Ge 2.0618 1.1904 17.2887
Ge 2.0618 1.1904 21.2508